# 1
This record from the Alexandria database describes a geometry-optimized ZrSb2PtBr structure. The functional is PBE-GGA.

```
5
Lattice="5.2266 0.0000 0.0000 0.0000 5.2266 0.0000 0.0000 0.0000 5.3782" Properties=species:S:1:pos:R:3 pbc="T T T"
Zr 0.0000 0.0000 0.0000
Sb 0.0000 2.6133 2.6891
Sb 2.6133 0.0000 2.6891
Pt 0.0000 0.0000 2.6891
Br 2.6133 2.6133 0.0000
```

The total energy is -4.588 eV per atom. Its calculated density is 6.89 g cm⁻³. The formation energy without anion corrections comes out at 1.565 eV per formula unit. The calculation puts the density of states at the Fermi level at 7.34 states/eV per cell.

=====

# 2
This record from the Alexandria database describes a geometry-optimized Na2CePmTe4 structure. The functional is PBE-GGA.

```
8
Lattice="7.8822 0.0000 0.0000 0.0000 4.5530 0.0000 -2.6298 0.0000 7.5292" Properties=species:S:1:pos:R:3 pbc="T T T"
Na 0.0000 0.0000 0.0000
Na 3.9411 2.2765 0.0000
Ce -1.3149 2.2765 3.7646
Pm 2.6262 0.0000 3.7646
Te 0.0135 0.0000 5.5655
Te 1.3292 2.2765 1.9696
Te 3.9232 2.2765 5.5595
Te 5.2389 0.0000 1.9636
```

The total energy is -4.530 eV per atom. Its calculated density is 5.17 g cm⁻³. The formation energy without anion corrections comes out at -10.347 eV per formula unit. The calculation puts the density of states at the Fermi level at 6.48 states/eV per cell.

=====

# 3
This record from the Alexandria database describes a geometry-optimized LaLuMgZn structure. The functional is PBE-GGA.

```
4
Lattice="0.0000 3.7360 3.7360 3.7360 0.0000 3.7360 3.7360 3.7360 0.0000" Properties=species:S:1:pos:R:3 pbc="T T T"
La 0.0000 0.0000 0.0000
Lu 3.7360 3.7360 3.7360
Mg 1.8680 1.8680 1.8680
Zn 5.6039 5.6039 5.6039
```

The total energy is -3.240 eV per atom. Its calculated density is 6.43 g cm⁻³. The calculation puts the density of states at the Fermi level at 4.54 states/eV per cell. The formation energy comes out at -160.3 meV per atom.

=====

# 4
This record from the Alexandria database describes a geometry-optimized DyMgRu structure. The functional is PBE-GGA.

```
3
Lattice="4.5313 0.0000 0.0000 -2.2656 3.9242 0.0000 0.0000 0.0000 3.4708" Properties=species:S:1:pos:R:3 pbc="T T T"
Dy 0.0000 0.0000 0.0000
Mg 0.0000 2.6161 1.6914
Ru 2.2656 1.3081 1.8785
```

The total energy is -5.227 eV per atom. Its calculated density is 7.75 g cm⁻³. The calculation puts the density of states at the Fermi level at 1.99 states/eV per cell. The formation energy comes out at -69.6 meV per atom.

=====

# 5
This record from the Alexandria database describes a geometry-optimized Na2HgBi2 structure. The functional is PBE-GGA.

```
10
Lattice="9.6190 0.0000 0.0000 0.0000 9.6190 0.0000 0.0000 0.0000 3.4596" Properties=species:S:1:pos:R:3 pbc="T T T"
Na 1.7401 3.0694 0.0000
Na 3.0694 7.8789 0.0000
Na 6.5497 1.7401 0.0000
Na 7.8789 6.5497 0.0000
Hg 0.0000 0.0000 0.0000
Hg 4.8095 4.8095 0.0000
Bi 1.0807 5.8902 1.7298
Bi 3.7288 1.0807 1.7298
Bi 5.8902 8.5383 1.7298
Bi 8.5383 3.7288 1.7298
```

The total energy is -2.285 eV per atom. Its calculated density is 6.89 g cm⁻³. The calculation puts the density of states at the Fermi level at 6.86 states/eV per cell. The formation energy comes out at -144.8 meV per atom. Its energy above the most stable polymorph in this dataset is 0.071 eV/atom.